This record from Alexandria describes crystalline La3P2Pt9 at its relaxed geometry. The functional is GGA-PBE.

Calculated values
**Magnetization**: 0.0 μB/f.u.
**Electronic total energy**: -6.610 eV/atom
**Fermi-level density of states**: 0.50 states/eV per atom

Cell lengths 5.9232, 5.9232, 17.8649 Å; angles 90.00, 90.00, 120.00 degrees
With the nearest neighbours (Å) after each atom.
Space group P6_3/mmc (No. 194)
Inequivalent atoms, fractional coordinates:
La 0.0000 0.0000 0.2500 x2  6 Pt 2.96
La 0.3333 0.6667 0.0912 x4  12 Pt 3.00-3.32
P 0.3333 0.6667 0.6517 x4  6 Pt 2.35-2.51
Pt 0.0155 0.5077 0.2500 x6  2 P 2.51
Pt 0.1603 0.3206 0.5658 x12  1 P 2.35

***

This record from Alexandria describes crystalline La2PPt2 at its relaxed geometry. The functional is GGA-PBE.

Calculated values
**Distance to the lowest polymorph of the same formula**: 0.0 meV/atom
**Magnetization**: 0.0 μB/f.u.
**Electronic total energy**: -6.602 eV/atom
**Fermi-level density of states**: 0.66 states/eV per atom

Cell lengths 6.4952, 5.9811, 6.5595 Å; angles 90.00, 115.95, 90.00 degrees
With the nearest neighbours (Å) after each atom.
Space group P2_1 (No. 4)
Inequivalent atoms, fractional coordinates:
La 0.0385 0.0000 0.3391 x2  2 P 2.97-2.99, 5 Pt 3.07-3.13
La 0.4508 0.2954 0.1712 x2  3 Pt 2.92-3.18, 2 P 3.02-3.06
P 0.2460 0.7585 0.0758 x2  3 Pt 2.38-2.55
Pt 0.0183 0.5000 0.2105 x2  2 P 2.40-2.55
Pt 0.3959 0.3569 0.6212 x2  1 P 2.38

***

This record from Alexandria describes crystalline La2PPt2 at its relaxed geometry. The functional is GGA-PBE.

Calculated values
**Distance to the lowest polymorph of the same formula**: 116.9 meV/atom
**Magnetization**: 0.0 μB/f.u.
**Electronic total energy**: -6.485 eV/atom
**Fermi-level density of states**: 0.65 states/eV per atom

Cell lengths 7.5825, 7.5825, 4.0384 Å; angles 90.00, 90.00, 90.00 degrees
With the nearest neighbours (Å) after each atom.
Space group P4/mbm (No. 127)
Inequivalent atoms, fractional coordinates:
La 0.1827 0.3173 0.0000 x4  6 Pt 2.87-3.13
P 0.0000 0.0000 0.5000 x2  4 Pt 2.99
Pt 0.1273 0.6273 0.5000 x4  1 Pt 2.73, 2 La 2.87, 2 P 2.99

***

This record from Alexandria describes crystalline La2PPt2 at its relaxed geometry. The functional is GGA-PBE.

Calculated values
**Distance to the lowest polymorph of the same formula**: 63.4 meV/atom
**Magnetization**: 0.0 μB/f.u.
**Electronic total energy**: -6.539 eV/atom
**Fermi-level density of states**: 0.45 states/eV per atom

Cell lengths 3.8790, 3.8790, 15.7515 Å; angles 90.00, 90.00, 90.00 degrees
With the nearest neighbours (Å) after each atom.
Space group I4/mmm (No. 139)
Inequivalent atoms, fractional coordinates:
La 0.0000 0.0000 0.1052 x4  4 Pt 2.99, 4 P 3.20, 1 La 3.31
P 0.0000 0.0000 0.5000 x2  8 La 3.20
Pt 0.0000 0.5000 0.2500 x4  4 Pt 2.74, 4 La 2.99

***

This record from Alexandria describes crystalline LaPPt6 at its relaxed geometry. The functional is GGA-PBE.

Calculated values
**Magnetization**: 0.0 μB/f.u.
**Electronic total energy**: -6.396 eV/atom
**Fermi-level density of states**: 0.26 states/eV per atom

Cell lengths 5.6027, 5.6027, 17.6076 Å; angles 90.00, 90.00, 120.00 degrees
With the nearest neighbours (Å) after each atom.
Space group R-3m (No. 166, hexagonal axes)
Inequivalent atoms, fractional coordinates:
La 0.0000 0.0000 0.0000 x3  12 Pt 3.13
P 0.0000 0.0000 0.5000 x3  6 Pt 2.28
Pt 0.0116 0.5058 0.9211 x18  1 P 2.28

***

This record from Alexandria describes crystalline La2PPt6 at its relaxed geometry. The functional is GGA-PBE.

Calculated values
**Magnetization**: 0.0 μB/f.u.
**Electronic total energy**: -6.669 eV/atom
**Fermi-level density of states**: 0.45 states/eV per atom

Cell lengths 9.9328, 5.7414, 6.1574 Å; angles 90.00, 103.80, 90.00 degrees
With the nearest neighbours (Å) after each atom.
Space group C2/m (No. 12)
Inequivalent atoms, fractional coordinates:
La 0.1374 0.0000 0.3419 x4  9 Pt 2.99-3.23
P 0.0000 0.5000 0.5000 x2  6 Pt 2.41-2.51
Pt 0.1205 0.5000 0.2035 x4  1 P 2.41
Pt 0.1371 0.2489 0.8072 x8  1 P 2.51

***

- Look up the magnetization of the third one.
  0.0 μB/f.u.